Record 1
A plane-wave DFT calculation with PBE-GGA was carried out for a geometry-optimized Li4Np3CoS8 structure.

```
16
Lattice="3.7729 2.1783 6.1763 -3.7729 2.1783 6.1763 0.0000 -4.3566 6.1763" Properties=species:S:1:pos:R:3 pbc="T T T"
Li 0.0000 0.0000 0.0000
Li -1.8864 -1.0891 6.1763
Li -1.8864 1.0891 12.3525
Li 0.0000 2.1783 6.1763
Np -3.7729 0.0000 9.2644
Np -1.8864 1.0891 3.0881
Np 1.8864 1.0891 3.0881
Co 0.0000 0.0000 9.2644
S 0.0000 0.0000 4.6936
S 0.0000 -2.0755 7.7623
S -1.7975 1.0378 7.7623
S -1.7975 -1.0378 10.7665
S 1.7975 1.0378 7.7623
S 1.7975 -1.0378 10.7665
S 0.0000 2.0755 10.7665
S 0.0000 0.0000 13.8352
```

Energy relative to the elements, uncorrected: -18.7 eV per formula unit
V: 19.0 Å³/atom
Spin magnetization: 11.84 μB per formula unit

Record 2
A plane-wave DFT calculation with PBE-GGA was carried out for a geometry-optimized Ta2AlW structure.

```
4
Lattice="2.8123 0.0000 0.0000 0.0000 4.2379 0.0000 0.0000 0.0000 5.7666" Properties=species:S:1:pos:R:3 pbc="T T T"
Ta 0.0000 0.0000 0.0000
Ta 1.4061 2.1189 1.5331
Al 1.4061 2.1189 4.3664
W 0.0000 0.0000 2.9947
```

V: 17.2 Å³/atom
Energy of formation from the pure elements: 0.077 eV per atom
Spin magnetization: 0.00 μB per formula unit

Record 3
A plane-wave DFT calculation with PBE-GGA was carried out for a geometry-optimized KTl2 structure.

```
3
Lattice="0.0000 3.9649 3.9649 3.9649 0.0000 3.9649 3.9649 3.9649 0.0000" Properties=species:S:1:pos:R:3 pbc="T T T"
K 0.0000 0.0000 0.0000
Tl 1.9825 1.9825 1.9825
Tl 5.9474 5.9474 5.9474
```

V: 41.6 Å³/atom
Energy of formation from the pure elements: 0.284 eV per atom
Spin magnetization: 0.00 μB per formula unit

Record 4
A plane-wave DFT calculation with PBE-GGA was carried out for a geometry-optimized KSc2Au structure.

```
4
Lattice="4.4976 0.0000 0.0000 0.0000 4.4976 0.0000 0.0000 0.0000 4.9367" Properties=species:S:1:pos:R:3 pbc="T T T"
K 0.0000 0.0000 0.0000
Sc 0.0000 2.2488 2.4683
Sc 2.2488 0.0000 2.4683
Au 2.2488 2.2488 0.0000
```

V: 25.0 Å³/atom
Energy of formation from the pure elements: 0.269 eV per atom
Spin magnetization: 0.77 μB per formula unit

Record 5
A plane-wave DFT calculation with PBE-GGA was carried out for a geometry-optimized Zr3CuCl structure.

```
5
Lattice="4.7565 0.0000 0.0000 0.0000 4.7565 0.0000 0.0000 0.0000 4.7565" Properties=species:S:1:pos:R:3 pbc="T T T"
Zr 0.0000 0.0000 2.3782
Zr 0.0000 2.3782 0.0000
Zr 2.3782 0.0000 0.0000
Cu 2.3782 2.3782 2.3782
Cl 0.0000 0.0000 0.0000
```

Energy relative to the elements, uncorrected: 1.0 eV per formula unit
V: 21.5 Å³/atom
Spin magnetization: 0.00 μB per formula unit

Record 6
A plane-wave DFT calculation with PBE-GGA was carried out for a geometry-optimized La6Sm structure.

```
7
Lattice="-4.1042 4.1042 4.1042 4.1042 -4.1042 4.1042 4.1042 4.1042 -4.1042" Properties=species:S:1:pos:R:3 pbc="T T T"
La 4.1042 2.0521 0.0000
La 4.1042 0.0000 2.0521
La 2.0521 4.1042 0.0000
La 2.0521 0.0000 4.1042
La 0.0000 4.1042 2.0521
La 0.0000 2.0521 4.1042
Sm 0.0000 0.0000 0.0000
```

V: 39.5 Å³/atom
Energy of formation from the pure elements: 0.869 eV per atom
Spin magnetization: 0.00 μB per formula unit

Record 7
A plane-wave DFT calculation with PBE-GGA was carried out for a geometry-optimized MoAsPb2 structure.

```
4
Lattice="1.6164 0.9332 10.1501 -1.6164 0.9332 10.1501 0.0000 -1.8665 10.1501" Properties=species:S:1:pos:R:3 pbc="T T T"
Mo 0.0000 0.0000 0.0000
As 0.0000 0.0000 15.2252
Pb 0.0000 0.0000 7.8135
Pb 0.0000 0.0000 22.6368
```

V: 23.0 Å³/atom
Energy of formation from the pure elements: 0.673 eV per atom
Spin magnetization: 0.28 μB per formula unit